# TaNb2Sn (PBE-GGA, relaxed)
# Crystal system ... tetragonal
# DFT total energy ... -8.36 eV/atom
# DFT formation energy ... 636 meV/atom
# Symmetry ... I-42d
data_TaNb2Sn
_chemical_formula_sum 'Ta4 Nb8 Sn4'
_space_group_name_H-M_alt 'P 1'
_space_group_IT_number 1
_cell_length_a 7.624
_cell_length_b 7.624
_cell_length_c 5.715
_cell_angle_alpha 90.00
_cell_angle_beta 90.00
_cell_angle_gamma 90.00
loop_
_space_group_symop_operation_xyz
'x,y,z'
loop_
_atom_site_label
_atom_site_fract_x
_atom_site_fract_y
_atom_site_fract_z
Ta1 0.000 0.000 0.000
Ta2 0.000 0.500 0.250
Ta3 0.500 0.000 0.750
Ta4 0.500 0.500 0.500
Nb1 0.229 0.250 0.125
Nb2 0.250 0.729 0.375
Nb3 0.250 0.771 0.875
Nb4 0.271 0.250 0.625
Nb5 0.729 0.750 0.625
Nb6 0.750 0.229 0.875
Nb7 0.750 0.271 0.375
Nb8 0.771 0.750 0.125
Sn1 0.000 0.000 0.500
Sn2 0.000 0.500 0.750
Sn3 0.500 0.000 0.250
Sn4 0.500 0.500 0.000